#a
A plane-wave DFT calculation with GGA-PBE was carried out for NaSnAuSe3 after structural relaxation.

The structure belongs to space group Pnma (No. 62); the cell edges are 14.072, 4.097 and 10.481 Å and the angles 90.00°, 90.00° and 90.00°. Symmetry generates all atoms from Na at (0.165, 0.250, 0.015), Sn at (0.028, 0.750, 0.659), Au at (0.215, 0.750, 0.237), Se at (0.043, 0.750, 0.183), Se at (0.115, 0.250, 0.513) and Se at (0.184, 0.750, 0.804).

Its volume is 25.177 A^3/atom.

***

#b
A plane-wave DFT calculation with GGA-PBE was carried out for NaSnAuSe3 after structural relaxation.

The structure belongs to space group Cmcm (No. 63); the cell edges are 3.922, 14.771 and 10.668 Å and the angles 90.00°, 90.00° and 90.00°. Symmetry generates all atoms from Na at (0.000, 0.204, 0.250), Sn at (0.000, 0.500, 0.000), Au at (0.000, 0.137, 0.750), Se at (0.000, 0.133, 0.522) and Se at (0.000, 0.446, 0.750).

Its volume is 25.751 A^3/atom.

***

#c
A plane-wave DFT calculation with GGA-PBE was carried out for NaSnAuSe3 after structural relaxation.

The structure belongs to space group Pnma (No. 62); the cell edges are 14.008, 4.067 and 11.128 Å and the angles 90.00°, 90.00° and 90.00°. Symmetry generates all atoms from Na at (0.232, 0.250, 0.033), Sn at (0.007, 0.250, 0.659), Au at (0.071, 0.750, 0.956), Se at (0.109, 0.250, 0.452), Se at (0.121, 0.750, 0.742) and Se at (0.122, 0.750, 0.167).

Its volume is 26.414 A^3/atom.

***

Stability verdict: #a, ahead by 9 meV/atom

***

#a
A plane-wave DFT calculation with GGA-PBE was carried out for NaSnAu3Se4 after structural relaxation.

The structure belongs to space group P-43m (No. 215); the cell edges are 6.400, 6.400 and 6.400 Å and the angles 90.00°, 90.00° and 90.00°. Symmetry generates all atoms from Na at (0.000, 0.000, 0.000), Sn at (0.500, 0.500, 0.500), Au at (0.000, 0.500, 0.500) and Se at (0.263, 0.263, 0.263).

Its volume is 29.126 A^3/atom.

***

#b
A plane-wave DFT calculation with GGA-PBE was carried out for NaSnAu3Se4 after structural relaxation.

The structure belongs to space group P2_1/m (No. 11); the cell edges are 6.479, 8.796 and 9.507 Å and the angles 90.00°, 102.04° and 90.00°. Symmetry generates all atoms from Na at (0.242, 0.250, 0.152), Sn at (0.266, 0.750, 0.259), Au at (0.183, 0.081, 0.563), Au at (0.273, 0.250, 0.848), Se at (0.010, 0.517, 0.239), Se at (0.358, 0.750, 0.011) and Se at (0.459, 0.250, 0.490).

Its volume is 29.436 A^3/atom.

***

Stability verdict: #b, ahead by 135 meV/atom

***

#a
A plane-wave DFT calculation with GGA-PBE was carried out for NaSiAu3 after structural relaxation.

The structure belongs to space group Amm2 (No. 38); the cell edges are 4.578, 7.036 and 6.626 Å and the angles 90.00°, 90.00° and 90.00°. Symmetry generates all atoms from Na at (0.000, 0.000, 0.000), Si at (0.500, 0.000, 0.628), Au at (0.000, 0.000, 0.484) and Au at (0.500, 0.206, 0.305).

Its volume is 21.345 A^3/atom.

***

#b
A plane-wave DFT calculation with GGA-PBE was carried out for NaSiAu3 after structural relaxation.

The structure belongs to space group Pa-3 (No. 205); the cell edges are 9.044, 9.044 and 9.044 Å and the angles 90.00°, 90.00° and 90.00°. Symmetry generates all atoms from Na at (0.097, 0.097, 0.097), Si at (0.124, 0.624, 0.876) and Au at (0.093, 0.727, 0.129).

Its volume is 18.491 A^3/atom.

***

Stability verdict: #b, ahead by 17 meV/atom